First-principles (PBE with a Hubbard U) data for an optimized crystal structure of NaNi2O, as listed in Alexandria via LeMat-Bulk.

Computed properties:
DOS(E_F) ... 0.2032 states/eV per atom

```
data_NaNi2O
_cell_length_a 5.2331
_cell_length_b 5.2331
_cell_length_c 10.4524
_cell_angle_alpha 90.00
_cell_angle_beta 90.00
_cell_angle_gamma 90.00
_space_group_name_H-M_alt 'I 41/a m d'
_space_group_IT_number 141
loop_
_space_group_symop_operation_xyz
'x,y,z'
'-x,-y,-z'
'-y+1/4,x+3/4,z+1/4'
'y+1/4,-x+3/4,-z+1/4'
'-x+1/2,-y,z+1/2'
'x+1/2,y,-z+1/2'
'y+1/4,-x+1/4,z+3/4'
'-y+1/4,x+1/4,-z+3/4'
'x,-y,-z'
'-x,y,z'
'-y+1/4,-x+1/4,-z+3/4'
'y+1/4,x+1/4,z+3/4'
'-x+1/2,y,-z+1/2'
'x+1/2,-y,z+1/2'
'y+1/4,x+3/4,-z+1/4'
'-y+1/4,-x+3/4,z+1/4'
'x+1/2,y+1/2,z+1/2'
'-x+1/2,-y+1/2,-z+1/2'
'-y+3/4,x+1/4,z+3/4'
'y+3/4,-x+1/4,-z+3/4'
'-x,-y+1/2,z'
'x,y+1/2,-z'
'y+3/4,-x+3/4,z+1/4'
'-y+3/4,x+3/4,-z+1/4'
'x+1/2,-y+1/2,-z+1/2'
'-x+1/2,y+1/2,z+1/2'
'-y+3/4,-x+3/4,-z+1/4'
'y+3/4,x+3/4,z+1/4'
'-x,y+1/2,-z'
'x,-y+1/2,z'
'y+3/4,x+1/4,-z+3/4'
'-y+3/4,-x+1/4,z+3/4'
loop_
_atom_site_label
_atom_site_type_symbol
_atom_site_fract_x
_atom_site_fract_y
_atom_site_fract_z
_atom_site_occupancy
Na1 Na 0.0000 0.2500 0.3750 1
Ni1 Ni 0.0000 0.0000 0.0000 1
O1 O 0.0000 0.2500 0.8750 1
```

---

First-principles (PBE with a Hubbard U) data for an optimized crystal structure of Na4Ni7O16, as listed in Alexandria via LeMat-Bulk.

```
data_Na4Ni7O16
_cell_length_a 6.9841
_cell_length_b 7.0348
_cell_length_c 7.5138
_cell_angle_alpha 70.24
_cell_angle_beta 78.95
_cell_angle_gamma 64.70
_space_group_name_H-M_alt 'P 1'
_space_group_IT_number 1
loop_
_space_group_symop_operation_xyz
'x,y,z'
loop_
_atom_site_label
_atom_site_type_symbol
_atom_site_fract_x
_atom_site_fract_y
_atom_site_fract_z
_atom_site_occupancy
Na1 Na 0.0000 0.0000 0.0000 1
Na2 Na 0.1047 0.9085 0.4648 1
Na3 Na 0.3426 0.1832 0.4440 1
Na4 Na 0.5459 0.4476 0.5066 1
Ni1 Ni 0.0795 0.4182 0.7028 1
Ni2 Ni 0.2081 0.2987 0.0713 1
Ni3 Ni 0.4554 0.0387 0.8309 1
Ni4 Ni 0.5773 0.9162 0.2036 1
Ni5 Ni 0.7041 0.7890 0.5815 1
Ni6 Ni 0.8256 0.6620 0.9562 1
Ni7 Ni 0.9556 0.5490 0.3251 1
O1 O 0.0613 0.2662 0.3047 1
O2 O 0.0726 0.6002 0.0719 1
O3 O 0.1782 0.5198 0.4528 1
O4 O 0.1995 0.1167 0.7317 1
O5 O 0.3252 0.9979 0.0850 1
O6 O 0.3306 0.3409 0.8165 1
O7 O 0.4696 0.2183 0.1578 1
O8 O 0.4759 0.8331 0.4545 1
O9 O 0.5804 0.7392 0.8312 1
O10 O 0.6123 0.0691 0.6038 1
O11 O 0.7034 0.9565 0.9558 1
O12 O 0.7078 0.6145 0.2072 1
O13 O 0.8227 0.8490 0.3263 1
O14 O 0.8365 0.4903 0.5756 1
O15 O 0.9480 0.7135 0.7087 1
O16 O 0.9580 0.3669 0.9534 1
```

---

Number 1: VASP energy -45.92 eV per cell. Number 2: VASP energy -122.49 eV per cell.